Compound: MgZr4Co
Source: Alexandria via LeMat-Bulk
Functional: PBE
Structure: optimized geometry

a b c (Å): 8.082 8.082 8.082
angles (deg): 90.00 90.00 90.00
Space group F-43m (No. 216)
Inequivalent atoms, fractional coordinates:
Mg (0.000, 0.000, 0.000) [4 per cell]
Zr (0.124, 0.124, 0.624) [16 per cell]
Co (0.250, 0.250, 0.250) [4 per cell]

Computed properties:
crystal system	cubic
E_form	0.555	eV/atom
V	21.99	A^3/atom
DFT total energy	-6.59	eV/atom